#one
The following is a PBE calculation of a relaxed structure of CaGaSbI2, from Alexandria via LeMat-Bulk.

Summary:
SG: P4/mmm (123)
size of the total moment: 0.00 μB/f.u.
crystal system: tetragonal

a = 5.6947 Å, b = 5.6947 Å, c = 5.4585 Å
α = 90.00°, β = 90.00°, γ = 90.00°
With the nearest neighbours (Å) after each atom.
Atoms (fractional coordinates):
Ca (0.0000, 0.0000, 0.0000)  8 I 3.94, 4 Sb 4.03
Ga (0.5000, 0.5000, 0.5000)  2 Sb 2.73, 4 I 2.85
Sb (0.5000, 0.5000, 0.0000)  2 Ga 2.73
I (0.0000, 0.5000, 0.5000)  2 Ga 2.85
I (0.5000, 0.0000, 0.5000)  2 Ga 2.85

---

#two
The following is a PBE calculation of a relaxed structure of CaGaSbI2, from Alexandria via LeMat-Bulk.

Summary:
SG: P4/mmm (123)
size of the total moment: 2.01 μB/f.u.
crystal system: tetragonal

a = 6.0737 Å, b = 6.0737 Å, c = 6.2547 Å
α = 90.00°, β = 90.00°, γ = 90.00°
With the nearest neighbours (Å) after each atom.
Atoms (fractional coordinates):
Ca (0.0000, 0.0000, 0.0000)  4 I 3.04, 2 Sb 3.13
Ga (0.5000, 0.5000, 0.5000)  4 Sb 4.29, 8 I 4.36
Sb (0.0000, 0.0000, 0.5000)  2 Ca 3.13
I (0.0000, 0.5000, 0.0000)  2 Ca 3.04
I (0.5000, 0.0000, 0.0000)  2 Ca 3.04

---

Pick #one: it beats the second-best structure by 5 meV per atom.

---

#one
The following is a PBE calculation of a relaxed structure of CaGaTe2I, from Alexandria via LeMat-Bulk.

Summary:
SG: P4/mmm (123)
size of the total moment: 0.82 μB/f.u.
crystal system: tetragonal

a = 5.9193 Å, b = 5.9193 Å, c = 6.1234 Å
α = 90.00°, β = 90.00°, γ = 90.00°
With the nearest neighbours (Å) after each atom.
Atoms (fractional coordinates):
Ca (0.0000, 0.0000, 0.0000)  4 Te 2.96, 2 I 3.06
Ga (0.5000, 0.5000, 0.5000)  4 I 4.19, 8 Te 4.26
Te (0.0000, 0.5000, 0.0000)  2 Ca 2.96
Te (0.5000, 0.0000, 0.0000)  2 Ca 2.96
I (0.0000, 0.0000, 0.5000)  2 Ca 3.06

---

#two
The following is a PBE calculation of a relaxed structure of CaGaTe2I, from Alexandria via LeMat-Bulk.

Summary:
SG: P4/mmm (123)
size of the total moment: 0.00 μB/f.u.
crystal system: tetragonal

a = 5.4087 Å, b = 5.4087 Å, c = 5.8144 Å
α = 90.00°, β = 90.00°, γ = 90.00°
With the nearest neighbours (Å) after each atom.
Atoms (fractional coordinates):
Ca (0.0000, 0.0000, 0.0000)  4 I 3.82, 8 Te 3.97
Ga (0.5000, 0.5000, 0.5000)  4 Te 2.70, 2 I 2.91
Te (0.0000, 0.5000, 0.5000)  2 Ga 2.70
Te (0.5000, 0.0000, 0.5000)  2 Ga 2.70
I (0.5000, 0.5000, 0.0000)  2 Ga 2.91

---

Pick #two: it beats the second-best structure by 193 meV per atom.

---

#one
The following is a PBE calculation of a relaxed structure of CaInGa3, from Alexandria via LeMat-Bulk.

Summary:
SG: Pmn2_1 (31)
size of the total moment: 0.00 μB/f.u.
crystal system: orthorhombic

a = 5.8940 Å, b = 6.2973 Å, c = 6.1746 Å
α = 90.00°, β = 90.00°, γ = 90.00°
With the nearest neighbours (Å) after each atom.
Atoms (fractional coordinates):
Ca (0.0000, 0.2369, 0.0000)  5 Ga 3.00-3.32, 3 In 3.15-3.26
Ca (0.5000, 0.7631, 0.5000)  5 Ga 3.00-3.32, 3 In 3.15-3.26
In (0.0000, 0.5999, 0.6500)  5 Ga 2.68-2.87
In (0.5000, 0.4001, 0.1500)  5 Ga 2.68-2.87
Ga (0.0000, 0.9048, 0.3479)  1 In 2.68, 4 Ga 2.71-2.72, 1 Ca 3.00
Ga (0.2474, 0.2342, 0.5087)  4 Ga 2.71-2.98, 2 In 2.86-2.87
Ga (0.2526, 0.7658, 0.0087)  4 Ga 2.71-2.98, 2 In 2.86-2.87
Ga (0.5000, 0.0952, 0.8479)  1 In 2.68, 4 Ga 2.71-2.72, 1 Ca 3.00
Ga (0.7474, 0.7658, 0.0087)  4 Ga 2.71-2.98, 2 In 2.86-2.87
Ga (0.7526, 0.2342, 0.5087)  4 Ga 2.71-2.98, 2 In 2.86-2.87

---

#two
The following is a PBE calculation of a relaxed structure of CaInGa3, from Alexandria via LeMat-Bulk.

Summary:
SG: Pm-3m (221)
size of the total moment: 0.00 μB/f.u.
crystal system: cubic

a = 5.5929 Å, b = 5.5929 Å, c = 5.5929 Å
α = 90.00°, β = 90.00°, γ = 90.00°
With the nearest neighbours (Å) after each atom.
Atoms (fractional coordinates):
Ca (0.0000, 0.0000, 0.0000)  6 Ga 2.80
In (0.5000, 0.5000, 0.5000)  12 Ga 3.95
Ga (0.0000, 0.0000, 0.5000)  2 Ca 2.80
Ga (0.0000, 0.5000, 0.0000)  2 Ca 2.80
Ga (0.5000, 0.0000, 0.0000)  2 Ca 2.80

---

#three
The following is a PBE calculation of a relaxed structure of CaInGa3, from Alexandria via LeMat-Bulk.

Summary:
SG: Pm-3m (221)
size of the total moment: 0.00 μB/f.u.
crystal system: cubic

a = 5.3031 Å, b = 5.3031 Å, c = 5.3031 Å
α = 90.00°, β = 90.00°, γ = 90.00°
With the nearest neighbours (Å) after each atom.
Atoms (fractional coordinates):
Ca (0.0000, 0.0000, 0.0000)  12 Ga 3.75
In (0.5000, 0.5000, 0.5000)  6 Ga 2.65
Ga (0.0000, 0.5000, 0.5000)  2 In 2.65
Ga (0.5000, 0.0000, 0.5000)  2 In 2.65
Ga (0.5000, 0.5000, 0.0000)  2 In 2.65

---

Pick #one: it beats the second-best structure by 485 meV per atom.

---

#one
The following is a PBE calculation of a relaxed structure of Ca2InGa3, from Alexandria via LeMat-Bulk.

Summary:
SG: Fmmm (69)
size of the total moment: 0.00 μB/f.u.
crystal system: orthorhombic

a = 9.0515 Å, b = 8.8273 Å, c = 6.0835 Å
α = 72.11°, β = 68.13°, γ = 39.76°
With the nearest neighbours (Å) after each atom.
Atoms (fractional coordinates):
Ca (0.2494, 0.7506, 0.7506)  10 Ga 3.24-3.35, 2 In 3.31
Ca (0.2500, 0.2500, 0.2500)  4 In 3.31, 8 Ga 3.34
Ca (0.7500, 0.7500, 0.7500)  4 In 3.31, 8 Ga 3.34
Ca (0.7506, 0.2494, 0.2494)  10 Ga 3.24-3.35, 2 In 3.31
In (0.3335, 0.3335, 0.6665)  3 Ga 2.69-2.70
In (0.6665, 0.6665, 0.3335)  3 Ga 2.69-2.70
Ga (0.1616, 0.1616, 0.8384)  2 Ga 2.53, 1 In 2.69
Ga (0.1615, 0.6772, 0.3228)  2 Ga 2.53, 1 In 2.70
Ga (0.3228, 0.8385, 0.1615)  2 Ga 2.53, 1 In 2.70
Ga (0.6772, 0.1615, 0.8385)  2 Ga 2.53, 1 In 2.70
Ga (0.8385, 0.3228, 0.6772)  2 Ga 2.53, 1 In 2.70
Ga (0.8384, 0.8384, 0.1616)  2 Ga 2.53, 1 In 2.69

---

#two
The following is a PBE calculation of a relaxed structure of Ca2InGa3, from Alexandria via LeMat-Bulk.

Summary:
SG: Cm (8)
size of the total moment: 0.00 μB/f.u.
crystal system: monoclinic

a = 5.9368 Å, b = 5.9368 Å, c = 7.4899 Å
α = 128.75°, β = 128.75°, γ = 45.94°
With the nearest neighbours (Å) after each atom.
Atoms (fractional coordinates):
Ca (0.0000, 0.0000, 0.0000)  3 In 3.21-3.29, 9 Ga 3.22-3.51
Ca (0.0911, 0.0911, 0.5964)  9 Ga 3.14-3.44, 3 In 3.40
In (0.7054, 0.7054, 0.4018)  4 Ga 2.77-2.97
Ga (0.3741, 0.3741, 0.1984)  3 Ga 2.68-2.81, 1 In 2.82
Ga (0.3954, 0.3954, 0.5937)  2 Ga 2.63-2.81, 2 In 2.77
Ga (0.7089, 0.7089, 0.0090)  3 Ga 2.63-2.68

---

Pick #two: it beats the second-best structure by 36 meV per atom.

---

#one
The following is a PBE calculation of a relaxed structure of Ca3InGa, from Alexandria via LeMat-Bulk.

Summary:
SG: Cmcm (63)
size of the total moment: 0.00 μB/f.u.
crystal system: orthorhombic

a = 10.7650 Å, b = 10.7650 Å, c = 5.3527 Å
α = 90.00°, β = 90.00°, γ = 151.20°
With the nearest neighbours (Å) after each atom.
Atoms (fractional coordinates):
Ca (0.0710, 0.9290, 0.7500)  2 Ga 3.21, 2 In 3.22
Ca (0.2499, 0.7501, 0.7500)  4 In 3.30, 4 Ga 3.32-3.33
Ca (0.4285, 0.5715, 0.7500)  2 Ga 3.20, 2 In 3.22
Ca (0.5715, 0.4285, 0.2500)  2 Ga 3.20, 2 In 3.22
Ca (0.7501, 0.2499, 0.2500)  4 In 3.30, 4 Ga 3.32-3.33
Ca (0.9290, 0.0710, 0.2500)  2 Ga 3.21, 2 In 3.22
In (0.1572, 0.8428, 0.2500)  8 Ca 3.22-3.30
In (0.8428, 0.1572, 0.7500)  8 Ca 3.22-3.30
Ga (0.3445, 0.6555, 0.2500)  8 Ca 3.20-3.33
Ga (0.6555, 0.3445, 0.7500)  8 Ca 3.20-3.33

---

#two
The following is a PBE calculation of a relaxed structure of Ca3InGa, from Alexandria via LeMat-Bulk.

Summary:
SG: Pm-3m (221)
size of the total moment: 0.00 μB/f.u.
crystal system: cubic

a = 5.7116 Å, b = 5.7116 Å, c = 5.7116 Å
α = 90.00°, β = 90.00°, γ = 90.00°
With the nearest neighbours (Å) after each atom.
Atoms (fractional coordinates):
Ca (0.0000, 0.0000, 0.5000)  2 Ga 2.86
Ca (0.0000, 0.5000, 0.0000)  2 Ga 2.86
Ca (0.5000, 0.0000, 0.0000)  2 Ga 2.86
In (0.5000, 0.5000, 0.5000)  12 Ca 4.04
Ga (0.0000, 0.0000, 0.0000)  6 Ca 2.86

---

Pick #one: it beats the second-best structure by 299 meV per atom.

---

#one
The following is a PBE calculation of a relaxed structure of CaPrInGa, from Alexandria via LeMat-Bulk.

Summary:
SG: P4mm (99)
size of the total moment: 0.00 μB/f.u.
crystal system: tetragonal

a = 3.7543 Å, b = 3.7543 Å, c = 7.7377 Å
α = 90.00°, β = 90.00°, γ = 90.00°
With the nearest neighbours (Å) after each atom.
Atoms (fractional coordinates):
Ca (0.0000, 0.0000, 0.0000)  4 Ga 3.20, 4 In 3.31
Pr (0.0000, 0.0000, 0.5292)  4 Ga 3.24, 4 In 3.40
In (0.5000, 0.5000, 0.2555)  4 Ca 3.31, 4 Pr 3.40
Ga (0.5000, 0.5000, 0.7685)  4 Ca 3.20, 4 Pr 3.24

---

#two
The following is a PBE calculation of a relaxed structure of CaPrInGa, from Alexandria via LeMat-Bulk.

Summary:
SG: F-43m (216)
size of the total moment: 0.00 μB/f.u.
crystal system: cubic

a = 5.3709 Å, b = 5.3709 Å, c = 5.3709 Å
α = 60.00°, β = 60.00°, γ = 60.00°
With the nearest neighbours (Å) after each atom.
Atoms (fractional coordinates):
Ca (0.0000, 0.0000, 0.0000)  4 In 3.29, 4 Ga 3.29
Pr (0.5000, 0.5000, 0.5000)  4 Ga 3.29, 4 In 3.29
In (0.2500, 0.2500, 0.2500)  4 Pr 3.29, 4 Ca 3.29
Ga (0.7500, 0.7500, 0.7500)  4 Pr 3.29, 4 Ca 3.29

---

Pick #one: it beats the second-best structure by 24 meV per atom.